Computed, not measured: crystalline FeCuTe at its relaxed geometry at the GGA-PBE level of DFT.

Computed properties:
V	47	Å³ per cell
polymorph energy (0 for the lowest one)	0.2033	eV/atom
space group	No. 107
calculated density	8.641	Mg/m³
energy	-4.894	eV per atom

a b c (Å): 4.6851 4.6851 4.6851
angles (deg): 136.88 136.88 62.63
Fractional positions:
Fe  0.0000  0.0000  0.0000
Cu  0.6626  0.6626  0.0000
Te  0.3369  0.3369  0.0000